YHoTmSc2: optimized geometry, PBE.

Values from the calculation:
Uncorrected energy   -5.384 eV/atom
Crystal system   orthorhombic

Cell: 3.455 15.829 11.174 Å, 90.00 90.00 90.00°
Space group Cmcm (No. 63)
Asymmetric unit:
Y  0.000  0.000  0.000 x4
Ho  0.000  0.122  0.250 x4
Tm  0.000  0.176  0.750 x4
Sc  0.000  0.325  0.522 x8



BaZrHg2: optimized geometry, PBE.

Values from the calculation:
Uncorrected energy   -2.733 eV/atom
Crystal system   orthorhombic

Cell: 3.614 4.604 7.322 Å, 90.00 90.00 90.00°
Space group Pmm2 (No. 25)
Asymmetric unit:
Ba  0.000  0.000  0.000 x1
Zr  0.500  0.500  0.633 x1
Hg  0.000  0.000  0.524 x1
Hg  0.500  0.500  0.243 x1



CsK2LaZr: optimized geometry, PBE.

Values from the calculation:
Uncorrected energy   -2.514 eV/atom
Crystal system   tetragonal

Cell: 7.292 7.292 5.629 Å, 90.00 90.00 90.00°
Space group P4/mmm (No. 123)
Asymmetric unit:
Cs  0.000  0.000  0.000 x1
K  0.000  0.500  0.500 x2
La  0.500  0.500  0.000 x1
Zr  0.500  0.500  0.500 x1



SrTaSb2I: optimized geometry, PBE.

Values from the calculation:
Formation energy (no corrections)   -0.137 eV/atom
E above lowest polymorph   0.000 eV per atom
Crystal system   tetragonal

Cell: 5.388 5.388 5.848 Å, 90.00 90.00 90.00°
Space group P4/mmm (No. 123)
Asymmetric unit:
Sr  0.000  0.000  0.000 x1
Ta  0.500  0.500  0.500 x1
Sb  0.000  0.500  0.500 x2
I  0.500  0.500  0.000 x1